(1)
A geometry-optimized Sm8HoTm3 structure, computed with PBE-GGA.

## Properties
Mass density, Mg/m³: 7.93
Magnetic moment, μB per formula unit: 0.00
Uncorrected energy, eV per atom: -4.525

Lattice parameters (Å, degrees): 6.890 6.890 9.782 97.19 97.19 119.23
Positions (direct):
1 Sm 0.178 0.683 0.667
2 Sm 0.180 0.180 0.163
3 Sm 0.317 0.822 0.333
4 Sm 0.320 0.320 0.831
5 Sm 0.680 0.680 0.169
6 Sm 0.683 0.178 0.667
7 Sm 0.820 0.820 0.837
8 Sm 0.822 0.317 0.333
9 Ho 0.500 0.500 0.500
10 Tm 0.000 0.000 0.500
11 Tm 0.000 0.500 0.000
12 Tm 0.500 0.000 0.000

---

(2)
A geometry-optimized PrEr2In3 structure, computed with PBE-GGA.

## Properties
Mass density, Mg/m³: 8.34
Magnetic moment, μB per formula unit: 0.00
Uncorrected energy, eV per atom: -4.150

Lattice parameters (Å, degrees): 3.761 3.761 11.539 90.00 90.00 90.00
Positions (direct):
1 Pr 0.000 0.000 0.000
2 Er 0.000 0.000 0.340
3 Er 0.000 0.000 0.660
4 In 0.500 0.500 0.182
5 In 0.500 0.500 0.500
6 In 0.500 0.500 0.818

---

Number 1 is which compound? Sm8HoTm3